# 1
DFT (PBE) results for a relaxed structure of KNiBiCl6.

Lattice parameters (Å, degrees): 6.742 6.742 6.904 90.00 90.00 120.00
Element x y z (fractional)
K 0.000 0.000 0.000
Ni 0.667 0.333 0.500
Bi 0.333 0.667 0.500
Cl 0.386 0.035 0.709
Cl 0.386 0.351 0.291
Cl 0.649 0.035 0.291
Cl 0.649 0.614 0.709
Cl 0.965 0.351 0.709
Cl 0.965 0.614 0.291

## Properties
Formation energy (no corrections)   -9.67 eV/f.u.
Uncorrected energy   -3.50 eV per atom

=====

# 2
DFT (PBE) results for a relaxed structure of Lu3Sn.

Lattice parameters (Å, degrees): 3.469 10.817 5.774 90.00 90.00 90.00
Element x y z (fractional)
Lu 0.000 0.000 0.000
Lu 0.000 0.234 0.636
Lu 0.000 0.766 0.636
Lu 0.500 0.266 0.136
Lu 0.500 0.500 0.500
Lu 0.500 0.734 0.136
Sn 0.000 0.500 0.973
Sn 0.500 0.000 0.473

## Properties
DFT formation energy   -0.335 eV/atom
DOS(E_F)   6.0 states/eV per cell
Uncorrected energy   -4.73 eV per atom

=====

# 3
DFT (PBE) results for a relaxed structure of ZrSc2Pd2.

Lattice parameters (Å, degrees): 8.042 8.042 2.971 90.00 90.00 90.00
Element x y z (fractional)
Zr 0.000 0.000 0.000
Zr 0.500 0.500 0.000
Sc 0.144 0.356 0.000
Sc 0.356 0.856 0.000
Sc 0.644 0.144 0.000
Sc 0.856 0.644 0.000
Pd 0.154 0.654 0.500
Pd 0.346 0.154 0.500
Pd 0.654 0.846 0.500
Pd 0.846 0.346 0.500

## Properties
DFT formation energy   -0.512 eV/atom
DOS(E_F)   8.2 states/eV per cell
Relative energy among the computed polymorphs   0.49 eV per formula unit
Uncorrected energy   -6.83 eV per atom

=====

# 4
DFT (PBE) results for a relaxed structure of TbHoAlRh.

Lattice parameters (Å, degrees): 7.060 7.060 7.060 90.00 90.00 90.00
Element x y z (fractional)
Tb 0.000 0.000 0.000
Tb 0.000 0.500 0.500
Tb 0.500 0.000 0.500
Tb 0.500 0.500 0.000
Ho 0.000 0.000 0.500
Ho 0.000 0.500 0.000
Ho 0.500 0.000 0.000
Ho 0.500 0.500 0.500
Al 0.250 0.250 0.250
Al 0.250 0.750 0.750
Al 0.750 0.250 0.750
Al 0.750 0.750 0.250
Rh 0.250 0.250 0.750
Rh 0.250 0.750 0.250
Rh 0.750 0.250 0.250
Rh 0.750 0.750 0.750

## Properties
DFT formation energy   -0.557 eV/atom
DOS(E_F)   12.9 states/eV per cell
Uncorrected energy   -5.63 eV per atom

=====

# 5
DFT (PBE) results for a relaxed structure of Mn5FeGe6.

Lattice parameters (Å, degrees): 4.904 4.904 8.136 96.34 96.34 118.87
Element x y z (fractional)
Mn 0.000 0.000 0.000
Mn 0.168 0.832 0.500
Mn 0.334 0.666 0.000
Mn 0.666 0.334 0.000
Mn 0.832 0.168 0.500
Fe 0.500 0.500 0.500
Ge 0.085 0.416 0.251
Ge 0.252 0.252 0.748
Ge 0.416 0.085 0.251
Ge 0.584 0.915 0.749
Ge 0.748 0.748 0.252
Ge 0.915 0.584 0.749

## Properties
DFT formation energy   0.099 eV/atom
DOS(E_F)   10.5 states/eV per cell
Uncorrected energy   -6.74 eV per atom

=====

# 6
DFT (PBE) results for a relaxed structure of MgCu2O4.

Lattice parameters (Å, degrees): 5.052 5.052 9.293 90.00 90.00 146.13
Element x y z (fractional)
Mg 0.107 0.893 0.750
Mg 0.893 0.107 0.250
Cu 0.367 0.633 0.571
Cu 0.367 0.633 0.929
Cu 0.633 0.367 0.071
Cu 0.633 0.367 0.429
O 0.000 0.000 0.000
O 0.000 0.000 0.500
O 0.281 0.719 0.114
O 0.281 0.719 0.386
O 0.458 0.542 0.750
O 0.542 0.458 0.250
O 0.719 0.281 0.614
O 0.719 0.281 0.886

## Properties
DOS(E_F)   6.3 states/eV per cell
Formation energy (no corrections)   -7.07 eV/f.u.
Relative energy among the computed polymorphs   0.61 eV per formula unit
Uncorrected energy   -5.24 eV per atom

=====

# 7
DFT (PBE) results for a relaxed structure of AcLaPm5Ho2.

Lattice parameters (Å, degrees): 12.358 12.358 9.578 90.00 90.00 153.55
Element x y z (fractional)
Ac 0.103 0.897 0.500
Ac 0.897 0.103 0.000
La 0.267 0.733 0.110
La 0.733 0.267 0.610
Pm 0.025 0.975 0.827
Pm 0.103 0.897 0.108
Pm 0.188 0.812 0.806
Pm 0.241 0.759 0.431
Pm 0.494 0.506 0.606
Pm 0.506 0.494 0.106
Pm 0.759 0.241 0.931
Pm 0.812 0.188 0.306
Pm 0.897 0.103 0.608
Pm 0.975 0.025 0.327
Ho 0.329 0.671 0.744
Ho 0.388 0.612 0.369
Ho 0.612 0.388 0.869
Ho 0.671 0.329 0.244

## Properties
DFT formation energy   0.143 eV/atom
DOS(E_F)   21.1 states/eV per cell
Uncorrected energy   -4.52 eV per atom

=====

# 8
DFT (PBE) results for a relaxed structure of In3Hg3Te.

Lattice parameters (Å, degrees): 8.936 9.518 9.673 90.00 90.00 90.00
Element x y z (fractional)
In 0.050 0.200 0.170
In 0.128 0.489 0.734
In 0.208 0.074 0.605
In 0.292 0.926 0.105
In 0.372 0.511 0.234
In 0.450 0.800 0.670
In 0.550 0.300 0.830
In 0.628 0.011 0.266
In 0.708 0.426 0.395
In 0.792 0.574 0.895
In 0.872 0.989 0.766
In 0.950 0.700 0.330
Hg 0.064 0.400 0.425
Hg 0.085 0.541 0.066
Hg 0.144 0.805 0.817
Hg 0.356 0.195 0.317
Hg 0.415 0.459 0.566
Hg 0.436 0.600 0.925
Hg 0.564 0.100 0.575
Hg 0.585 0.959 0.934
Hg 0.644 0.695 0.183
Hg 0.856 0.305 0.683
Hg 0.915 0.041 0.434
Hg 0.936 0.900 0.075
Te 0.230 0.226 0.893
Te 0.270 0.774 0.393
Te 0.730 0.274 0.107
Te 0.770 0.726 0.607

## Properties
DOS(E_F)   7.1 states/eV per cell
Formation energy (no corrections)   -0.38 eV/f.u.
Relative energy among the computed polymorphs   0.00 eV per formula unit
Uncorrected energy   -1.81 eV per atom

=====

# 9
DFT (PBE) results for a relaxed structure of NdInSi2Rh5.

Lattice parameters (Å, degrees): 4.115 4.115 10.175 90.00 90.00 90.00
Element x y z (fractional)
Nd 0.000 0.000 0.000
In 0.000 0.000 0.500
Si 0.500 0.500 0.225
Si 0.500 0.500 0.775
Rh 0.000 0.500 0.328
Rh 0.000 0.500 0.672
Rh 0.500 0.000 0.328
Rh 0.500 0.000 0.672
Rh 0.500 0.500 0.000

## Properties
DOS(E_F)   3.0 states/eV per cell
Formation energy (no corrections)   -4.34 eV/f.u.
Uncorrected energy   -6.61 eV per atom

=====

# 10
DFT (PBE) results for a relaxed structure of AlTcP2S.

Lattice parameters (Å, degrees): 4.456 4.456 5.273 90.00 90.00 90.00
Element x y z (fractional)
Al 0.000 0.000 0.000
Tc 0.500 0.500 0.500
P 0.000 0.500 0.500
P 0.500 0.000 0.500
S 0.500 0.500 0.000

## Properties
DOS(E_F)   2.4 states/eV per cell
Formation energy (no corrections)   2.30 eV/f.u.
Relative energy among the computed polymorphs   0.00 eV per formula unit
Uncorrected energy   -5.35 eV per atom

=====

# 11
DFT (PBE) results for a relaxed structure of ThCd2I8.

Lattice parameters (Å, degrees): 9.001 9.001 7.282 94.03 94.03 76.00
Element x y z (fractional)
Th 0.000 0.000 0.000
Cd 0.207 0.207 0.662
Cd 0.793 0.793 0.338
I 0.110 0.715 0.233
I 0.186 0.186 0.256
I 0.285 0.890 0.767
I 0.393 0.393 0.764
I 0.607 0.607 0.236
I 0.715 0.110 0.233
I 0.814 0.814 0.744
I 0.890 0.285 0.767

## Properties
DOS(E_F)   0.0 states/eV per cell
Formation energy (no corrections)   -8.99 eV/f.u.
Uncorrected energy   -2.79 eV per atom

=====

# 12
DFT (PBE) results for a relaxed structure of V7Os3W2.

Lattice parameters (Å, degrees): 10.636 10.636 4.191 90.00 90.00 156.99
Element x y z (fractional)
V 0.000 0.000 0.000
V 0.074 0.926 0.500
V 0.287 0.713 0.000
V 0.429 0.571 0.000
V 0.571 0.429 0.000
V 0.713 0.287 0.000
V 0.926 0.074 0.500
Os 0.354 0.646 0.500
Os 0.500 0.500 0.500
Os 0.646 0.354 0.500
W 0.146 0.854 0.000
W 0.854 0.146 0.000

## Properties
DFT formation energy   0.160 eV/atom
DOS(E_F)   10.3 states/eV per cell
Uncorrected energy   -10.13 eV per atom

=====

# 13
DFT (PBE) results for a relaxed structure of BaSc2Cl.

Lattice parameters (Å, degrees): 3.469 5.356 12.042 90.00 90.00 90.00
Element x y z (fractional)
Ba 0.000 0.000 0.000
Ba 0.000 0.500 0.500
Sc 0.000 0.000 0.277
Sc 0.000 0.500 0.777
Sc 0.500 0.000 0.700
Sc 0.500 0.500 0.200
Cl 0.500 0.000 0.480
Cl 0.500 0.500 0.980

## Properties
DOS(E_F)   10.0 states/eV per cell
Formation energy (no corrections)   -1.98 eV/f.u.
Relative energy among the computed polymorphs   0.00 eV per formula unit
Uncorrected energy   -4.60 eV per atom

=====

# 14
DFT (PBE) results for a relaxed structure of Pa2TaMo.

Lattice parameters (Å, degrees): 3.491 3.491 7.095 90.00 90.00 90.00
Element x y z (fractional)
Pa 0.000 0.000 0.242
Pa 0.000 0.000 0.758
Ta 0.500 0.500 0.500
Mo 0.500 0.500 0.000

## Properties
DFT formation energy   0.299 eV/atom
DOS(E_F)   7.0 states/eV per cell
Relative energy among the computed polymorphs   0.00 eV per formula unit
Uncorrected energy   -10.12 eV per atom

=====

# 15
DFT (PBE) results for a relaxed structure of KTlBO3.

Lattice parameters (Å, degrees): 5.646 5.646 6.919 90.00 90.00 120.00
Element x y z (fractional)
K 0.333 0.667 0.250
K 0.667 0.333 0.750
Tl 0.000 0.000 0.000
Tl 0.000 0.000 0.500
B 0.333 0.667 0.750
B 0.667 0.333 0.250
O 0.190 0.380 0.750
O 0.190 0.810 0.750
O 0.380 0.190 0.250
O 0.620 0.810 0.750
O 0.810 0.190 0.250
O 0.810 0.620 0.250

## Properties
DOS(E_F)   3.2 states/eV per cell
Formation energy (no corrections)   -9.57 eV/f.u.
Uncorrected energy   -5.76 eV per atom

=====

# 16
DFT (PBE) results for a relaxed structure of Hg5Rh.

Lattice parameters (Å, degrees): 4.607 3.338 17.248 90.00 90.00 90.00
Element x y z (fractional)
Hg 0.000 0.000 0.000
Hg 0.000 0.000 0.295
Hg 0.000 0.500 0.500
Hg 0.000 0.500 0.795
Hg 0.500 0.000 0.188
Hg 0.500 0.000 0.543
Hg 0.500 0.000 0.874
Hg 0.500 0.500 0.043
Hg 0.500 0.500 0.374
Hg 0.500 0.500 0.688
Rh 0.000 0.000 0.649
Rh 0.000 0.500 0.149

## Properties
DFT formation energy   0.179 eV/atom
DOS(E_F)   4.8 states/eV per cell
Relative energy among the computed polymorphs   0.36 eV per formula unit
Uncorrected energy   -1.30 eV per atom

=====

# 17
DFT (PBE) results for a relaxed structure of YAgC.

Lattice parameters (Å, degrees): 6.834 3.713 7.635 90.00 90.00 90.00
Element x y z (fractional)
Y 0.040 0.250 0.180
Y 0.460 0.750 0.680
Y 0.540 0.250 0.320
Y 0.960 0.750 0.820
Ag 0.153 0.250 0.547
Ag 0.347 0.750 0.047
Ag 0.653 0.250 0.953
Ag 0.847 0.750 0.453
C 0.197 0.250 0.872
C 0.303 0.750 0.372
C 0.697 0.250 0.628
C 0.803 0.750 0.128

## Properties
DFT formation energy   0.219 eV/atom
DOS(E_F)   0.4 states/eV per cell
Uncorrected energy   -5.96 eV per atom

=====

# 18
DFT (PBE) results for a relaxed structure of VInPbCl6.

Lattice parameters (Å, degrees): 7.028 7.028 6.567 90.00 90.00 120.00
Element x y z (fractional)
V 0.000 0.000 0.000
In 0.333 0.667 0.500
Pb 0.667 0.333 0.000
Cl 0.282 0.008 0.215
Cl 0.282 0.274 0.785
Cl 0.726 0.008 0.785
Cl 0.726 0.718 0.215
Cl 0.992 0.274 0.215
Cl 0.992 0.718 0.785

## Properties
DOS(E_F)   8.2 states/eV per cell
Formation energy (no corrections)   -9.95 eV/f.u.
Uncorrected energy   -4.07 eV per atom

=====

# 19
DFT (PBE) results for a relaxed structure of AcTbTlAg.

Lattice parameters (Å, degrees): 7.825 7.825 7.825 90.00 90.00 90.00
Element x y z (fractional)
Ac 0.000 0.000 0.000
Ac 0.000 0.500 0.500
Ac 0.500 0.000 0.500
Ac 0.500 0.500 0.000
Tb 0.000 0.000 0.500
Tb 0.000 0.500 0.000
Tb 0.500 0.000 0.000
Tb 0.500 0.500 0.500
Tl 0.250 0.250 0.250
Tl 0.250 0.750 0.750
Tl 0.750 0.250 0.750
Tl 0.750 0.750 0.250
Ag 0.250 0.250 0.750
Ag 0.250 0.750 0.250
Ag 0.750 0.250 0.250
Ag 0.750 0.750 0.750

## Properties
DFT formation energy   -0.277 eV/atom
DOS(E_F)   13.7 states/eV per cell
Relative energy among the computed polymorphs   0.12 eV per formula unit
Uncorrected energy   -3.77 eV per atom

=====

# 20
DFT (PBE) results for a relaxed structure of Mo2AsBr.

Lattice parameters (Å, degrees): 3.186 3.981 10.837 90.00 90.00 90.00
Element x y z (fractional)
Mo 0.000 0.000 0.000
Mo 0.000 0.500 0.249
Mo 0.500 0.000 0.749
Mo 0.500 0.500 0.500
As 0.000 0.500 0.684
As 0.500 0.000 0.184
Br 0.000 0.000 0.438
Br 0.500 0.500 0.938

## Properties
DOS(E_F)   9.3 states/eV per cell
Formation energy (no corrections)   1.97 eV/f.u.
Relative energy among the computed polymorphs   1.44 eV per formula unit
Uncorrected energy   -6.50 eV per atom